First-principles (PBE) data for crystalline SiC2S at its relaxed geometry, as listed in Alexandria.

Cell and atoms, written as POSCAR:
```
SiC2S
1.0
-3.598 0.001 -2.791
1.249 -4.072 -1.612
-3.650 -4.058 0.989
C S Si
4 2 2
direct
0.588 0.125 0.250
0.162 0.625 0.250
0.375 0.412 0.750
0.875 0.838 0.750
0.000 0.000 0.000
0.750 0.250 0.500
0.500 0.500 0.000
0.250 0.750 0.500
```

Space-group type: No. 122
E in eV per atom: -5.876

=====

First-principles (PBE) data for crystalline SiC2S at its relaxed geometry, as listed in Alexandria.

Cell and atoms, written as POSCAR:
```
SiC2S
1.0
0.000 2.708 2.708
2.708 0.000 2.708
2.708 2.708 0.000
C S Si
2 1 1
direct
0.250 0.250 0.250
0.750 0.750 0.750
0.500 0.500 0.500
0.000 0.000 0.000
```

Space-group type: No. 225
E in eV per atom: -4.560

=====

First-principles (PBE) data for crystalline SiCS at its relaxed geometry, as listed in Alexandria.

Cell and atoms, written as POSCAR:
```
SiCS
1.0
3.270 0.000 0.000
1.635 2.835 0.001
1.354 1.022 4.211
C S Si
1 1 1
direct
0.165 0.444 0.569
0.054 0.539 0.969
0.856 0.153 0.451
```

Space-group type: No. 1
E in eV per atom: -5.956

=====

First-principles (PBE) data for crystalline Si2CS at its relaxed geometry, as listed in Alexandria.

Cell and atoms, written as POSCAR:
```
Si2CS
1.0
0.000 2.889 2.889
2.889 0.000 2.889
2.889 2.889 0.000
C S Si
1 1 2
direct
0.000 0.000 0.000
0.500 0.500 0.500
0.250 0.250 0.250
0.750 0.750 0.750
```

Space-group type: No. 225
E in eV per atom: -4.650

=====

First-principles (PBE) data for crystalline SiCS at its relaxed geometry, as listed in Alexandria.

Cell and atoms, written as POSCAR:
```
SiCS
1.0
2.718 0.014 -0.013
-0.028 3.374 0.019
-1.378 -0.499 4.305
C S Si
1 1 1
direct
0.451 0.556 0.925
0.814 0.600 0.659
0.584 0.103 0.183
```

Space-group type: No. 1
E in eV per atom: -5.592

=====

First-principles (PBE) data for crystalline SiCS at its relaxed geometry, as listed in Alexandria.

Cell and atoms, written as POSCAR:
```
SiCS
1.0
-0.361 2.269 -2.264
0.145 -3.110 -0.842
-12.087 -0.853 1.070
C S Si
3 3 3
direct
0.000 0.000 0.192
0.333 0.667 0.858
0.667 0.333 0.525
0.000 0.000 0.340
0.333 0.667 0.007
0.667 0.333 0.673
0.000 0.000 0.798
0.333 0.667 0.464
0.667 0.333 0.131
```

Space-group type: No. 160
E in eV per atom: -5.942

=====

First-principles (PBE) data for crystalline SiCS2 at its relaxed geometry, as listed in Alexandria.

Cell and atoms, written as POSCAR:
```
SiCS2
1.0
-0.389 -6.587 3.685
2.143 -6.929 2.125
2.180 -5.470 4.738
C S Si
1 2 1
direct
0.500 0.500 0.500
0.889 0.889 0.889
0.111 0.111 0.111
0.000 0.000 0.000
```

Space-group type: No. 166
E in eV per atom: -4.428

=====

First-principles (PBE) data for crystalline SiCS2 at its relaxed geometry, as listed in Alexandria.

Cell and atoms, written as POSCAR:
```
SiCS2
1.0
4.653 4.085 3.859
6.662 1.737 2.415
5.713 4.492 0.643
C S Si
1 2 1
direct
0.000 0.000 0.000
0.925 0.925 0.925
0.075 0.075 0.075
0.500 0.500 0.500
```

Space-group type: No. 166
E in eV per atom: -4.889

=====

First-principles (PBE) data for crystalline SiCS2 at its relaxed geometry, as listed in Alexandria.

Cell and atoms, written as POSCAR:
```
SiCS2
1.0
-2.525 -3.305 0.400
-4.085 0.562 0.676
-2.758 -0.898 -3.008
C S Si
1 2 1
direct
0.000 0.000 0.000
0.250 0.250 0.250
0.750 0.750 0.750
0.500 0.500 0.500
```

Space-group type: No. 225
E in eV per atom: -4.052

=====

First-principles (PBE) data for crystalline Si2C2S at its relaxed geometry, as listed in Alexandria.

Cell and atoms, written as POSCAR:
```
Si2C2S
1.0
6.515 0.000 0.000
0.000 6.515 0.000
0.000 0.000 3.227
C S Si
4 2 4
direct
0.075 0.575 0.500
0.575 0.925 0.500
0.925 0.425 0.500
0.425 0.075 0.500
0.000 0.000 0.000
0.500 0.500 0.000
0.184 0.684 0.000
0.684 0.816 0.000
0.816 0.316 0.000
0.316 0.184 0.000
```

Space-group type: No. 127
E in eV per atom: -6.137

=====

First-principles (PBE) data for crystalline SiCS at its relaxed geometry, as listed in Alexandria.

Cell and atoms, written as POSCAR:
```
SiCS
1.0
2.726 0.000 0.000
0.000 3.071 0.000
0.000 0.000 6.136
C S Si
1 1 1
direct
0.000 0.000 0.677
0.500 0.000 0.864
0.000 0.500 0.471
```

Space-group type: No. 25
E in eV per atom: -5.624

=====

First-principles (PBE) data for crystalline Si2C2S at its relaxed geometry, as listed in Alexandria.

Cell and atoms, written as POSCAR:
```
Si2C2S
1.0
-2.614 -0.495 -1.808
0.107 -3.137 0.705
-4.478 -0.933 3.868
C S Si
2 1 2
direct
0.750 0.250 0.500
0.250 0.750 0.500
0.000 0.000 0.000
0.357 0.357 0.286
0.643 0.643 0.714
```

Space-group type: No. 139
E in eV per atom: -5.537

=====

The following formation energy from raw total energies values (in kJ/mol of formula units) correspond, in order, to the records above: 433 941 87 540 193 91 501 323 646 264 184 553.
The following offset from the most stable computed form values (in meV per atom) correspond, in order, to the records above: 0.0 1316.0 368.3 959.4 732.4 382.4 461.5 0.0 837.7 0.0 700.7 600.3.
The following ρ values (in g/cm³) correspond, in order, to the records above: 2.98 3.52 3.07 3.45 3.04 3.28 3.03 2.45 3.36 2.72 2.33 3.25.